1.
Crystalline Ba2MgCr at its relaxed geometry, computed with PBE-GGA.

Summary:
ΔH_f (0 K) (eV/atom): 0.3749

Cell lengths 5.177, 4.940, 13.153 Å; angles 90.00, 90.00, 90.00 degrees
Fractional coordinates of all 8 atoms:
Ba 0.000 0.000 0.000
Ba 0.000 0.500 0.500
Ba 0.500 0.000 0.289
Ba 0.500 0.500 0.789
Mg 0.000 0.000 0.703
Mg 0.000 0.500 0.203
Cr 0.500 0.000 0.587
Cr 0.500 0.500 0.087



2.
Crystalline Pm5Pr2Ho12 at its relaxed geometry, computed with PBE-GGA.

Summary:
ΔH_f (0 K) (eV/atom): 0.0841

Cell lengths 7.021, 8.272, 11.700 Å; angles 102.68, 99.70, 104.36 degrees
Fractional coordinates of all 19 atoms:
Pm 0.000 0.000 0.000
Pm 0.268 0.687 0.918
Pm 0.387 0.607 0.402
Pm 0.613 0.393 0.598
Pm 0.732 0.313 0.082
Pr 0.243 0.984 0.503
Pr 0.757 0.016 0.497
Ho 0.011 0.200 0.304
Ho 0.109 0.753 0.191
Ho 0.139 0.428 0.614
Ho 0.264 0.407 0.093
Ho 0.365 0.206 0.815
Ho 0.476 0.165 0.282
Ho 0.524 0.835 0.718
Ho 0.635 0.794 0.185
Ho 0.736 0.593 0.907
Ho 0.861 0.572 0.386
Ho 0.891 0.247 0.809
Ho 0.989 0.800 0.696



3.
Crystalline NbPHRu at its relaxed geometry, computed with PBE-GGA.

Summary:
Energy (eV per atom): -7.453

Cell lengths 3.897, 3.897, 6.173 Å; angles 90.00, 90.00, 90.00 degrees
Fractional coordinates of all 8 atoms:
Nb 0.250 0.250 0.129
Nb 0.750 0.750 0.871
P 0.250 0.250 0.711
P 0.750 0.750 0.289
H 0.250 0.750 0.000
H 0.750 0.250 0.000
Ru 0.250 0.750 0.500
Ru 0.750 0.250 0.500



4.
Crystalline BeNb2Pt2 at its relaxed geometry, computed with PBE-GGA.

Summary:
ΔH_f (0 K) (eV/atom): -0.3432

Cell lengths 5.871, 5.871, 4.616 Å; angles 90.00, 90.00, 90.00 degrees
Fractional coordinates of all 10 atoms:
Be 0.000 0.000 0.000
Be 0.500 0.500 0.000
Nb 0.164 0.336 0.500
Nb 0.336 0.836 0.500
Nb 0.664 0.164 0.500
Nb 0.836 0.664 0.500
Pt 0.155 0.655 0.000
Pt 0.345 0.155 0.000
Pt 0.655 0.845 0.000
Pt 0.845 0.345 0.000



5.
Crystalline Rb4CeTe4 at its relaxed geometry, computed with PBE-GGA.

Summary:
Raw formation energy (eV per atom): -0.998

Cell lengths 9.680, 9.680, 9.680 Å; angles 126.29, 126.29, 79.42 degrees
Fractional coordinates of all 9 atoms:
Rb 0.000 0.500 0.500
Rb 0.200 0.200 0.000
Rb 0.500 0.000 0.500
Rb 0.800 0.800 0.000
Ce 0.500 0.500 0.000
Te 0.188 0.583 0.000
Te 0.417 0.417 0.605
Te 0.583 0.188 0.000
Te 0.812 0.812 0.395



6.
Crystalline YHo3Th3 at its relaxed geometry, computed with PBE-GGA.

Summary:
ΔH_f (0 K) (eV/atom): 0.0388

Cell lengths 9.447, 9.447, 5.829 Å; angles 90.00, 90.00, 120.00 degrees
Fractional coordinates of all 14 atoms:
Y 0.333 0.667 0.250
Y 0.667 0.333 0.750
Ho 0.092 0.621 0.750
Ho 0.379 0.470 0.750
Ho 0.470 0.092 0.250
Ho 0.530 0.908 0.750
Ho 0.621 0.530 0.250
Ho 0.908 0.379 0.250
Th 0.046 0.812 0.250
Th 0.188 0.234 0.250
Th 0.234 0.046 0.750
Th 0.766 0.954 0.250
Th 0.812 0.766 0.750
Th 0.954 0.188 0.750



7.
Crystalline CuI at its relaxed geometry, computed with PBE-GGA.

Summary:
Raw formation energy (eV per atom): -0.143

Cell lengths 4.170, 4.170, 7.667 Å; angles 90.00, 90.00, 120.00 degrees
Fractional coordinates of all 4 atoms:
Cu 0.333 0.667 0.408
Cu 0.667 0.333 0.592
I 0.333 0.667 0.749
I 0.667 0.333 0.251



8.
Crystalline K2ScNi at its relaxed geometry, computed with PBE-GGA.

Summary:
ΔH_f (0 K) (eV/atom): 0.7436

Cell lengths 4.268, 4.268, 12.289 Å; angles 90.00, 90.00, 90.00 degrees
Fractional coordinates of all 8 atoms:
K 0.000 0.500 0.250
K 0.000 0.500 0.750
K 0.500 0.000 0.250
K 0.500 0.000 0.750
Sc 0.000 0.000 0.000
Sc 0.500 0.500 0.500
Ni 0.000 0.000 0.500
Ni 0.500 0.500 0.000